(1)
VASP calculation (PBE) on a relaxed Rb7SO2 crystal.

POSCAR file:
```
Rb7SO2
1.0
5.528 -6.661 0.000
5.528 6.661 0.000
0.000 0.000 5.455
Rb S O
7 1 2
Direct
0.000 0.000 0.000
0.209 0.476 0.000
0.223 0.777 0.500
0.476 0.209 0.000
0.524 0.791 0.000
0.777 0.223 0.500
0.791 0.524 0.000
0.500 0.500 0.500
0.214 0.786 0.000
0.786 0.214 0.000
```

total DFT energy (no corrections) = -2.82 eV per atom
ΔE_f (raw) = -0.74 eV per atom
M_tot = 0.00 μB/f.u.

***

(2)
VASP calculation (PBE) on a relaxed Rb2SO4 crystal.

POSCAR file:
```
Rb2SO4
1.0
3.973 0.000 0.000
0.000 3.973 0.000
0.000 0.000 13.598
Rb S O
4 2 8
Direct
0.000 0.000 0.145
0.000 0.000 0.855
0.500 0.500 0.355
0.500 0.500 0.645
0.000 0.000 0.500
0.500 0.500 0.000
0.000 0.000 0.387
0.000 0.000 0.613
0.000 0.500 0.000
0.000 0.500 0.500
0.500 0.000 0.000
0.500 0.000 0.500
0.500 0.500 0.113
0.500 0.500 0.887
```

total DFT energy (no corrections) = -4.57 eV per atom
relative energy among the computed polymorphs = 95.8 kJ/mol of atoms
ΔE_f (raw) = -0.87 eV per atom
M_tot = 0.00 μB/f.u.

***

(3)
VASP calculation (PBE) on a relaxed RbSO3 crystal.

POSCAR file:
```
RbSO3
1.0
3.848 0.000 0.000
0.000 3.848 0.000
0.000 0.000 3.848
Rb S O
1 1 3
Direct
0.000 0.000 0.000
0.500 0.500 0.500
0.000 0.500 0.500
0.500 0.000 0.500
0.500 0.500 0.000
```

total DFT energy (no corrections) = -4.30 eV per atom
ΔE_f (raw) = -0.31 eV per atom
M_tot = 0.00 μB/f.u.

***

N(E_F) (states/eV per atom)
0.259, 0.345, 0.657